DFT (PBE-GGA) results for crystalline Tb7Ag2Au2 at its relaxed geometry.

- energy (eV for the cell shown) = -46.0
- magnetization (μB per cell) = 0.00
- energy relative to the elements (eV/atom) = -0.125

Unit cell a=6.575 b=7.741 c=6.575 alpha=89.96 beta=109.99 gamma=90.04
Positions (direct):
Tb (0.500, 0.287, 0.000)
Tb (0.500, 0.713, 0.000)
Tb (0.500, 0.271, 0.500)
Tb (0.500, 0.729, 0.500)
Tb (0.000, 0.287, 0.500)
Tb (0.000, 0.713, 0.500)
Tb (0.000, 0.000, 0.000)
Au (0.812, 0.500, 0.812)
Au (0.188, 0.500, 0.188)
Ag (0.708, 0.000, 0.292)
Ag (0.292, 0.000, 0.708)